Entry 1:
Here is a relaxed Mg2TiNb2O8 crystal from Alexandria via LeMat-Bulk. Energies are from PBE.

Geometry as POSCAR:
```
Mg2TiNb2O8
1.0
9.5355 -2.9769 0.0000
9.5355 2.9769 0.0000
-0.0227 0.0000 5.2198
Mg Ti Nb O
4 2 4 16
direct
0.0874 0.3674 0.2426 Mg
0.3674 0.0874 0.7426 Mg
0.6326 0.9126 0.2574 Mg
0.9126 0.6326 0.7574 Mg
0.1319 0.8681 0.7500 Ti
0.8681 0.1319 0.2500 Ti
0.2362 0.5309 0.2506 Nb
0.4691 0.7638 0.2494 Nb
0.5309 0.2362 0.7506 Nb
0.7638 0.4691 0.7494 Nb
0.0433 0.3377 0.8817 O
0.0734 0.8162 0.4155 O
0.1838 0.9266 0.0845 O
0.2125 0.4145 0.5540 O
0.2946 0.5712 0.8958 O
0.3377 0.0433 0.3817 O
0.4145 0.2125 0.0540 O
0.4288 0.7054 0.6042 O
0.5712 0.2946 0.3958 O
0.5855 0.7875 0.9460 O
0.6623 0.9567 0.6183 O
0.7054 0.4288 0.1042 O
0.7875 0.5855 0.4460 O
0.8162 0.0734 0.9155 O
0.9266 0.1838 0.5845 O
0.9567 0.6623 0.1183 O
```

Values from the calculation:
ΔE_f (raw): -2608 meV per atom
N(E_F): 7.70 states/eV per cell
raw total energy: -8.061 eV/atom
space-group type: C2/c
magnetization: 2.0 μB/f.u.

=====

Entry 2:
Here is a relaxed ErGaNiPt crystal from Alexandria via LeMat-Bulk. Energies are from PBE.

Geometry as POSCAR:
```
ErGaNiPt
1.0
0.0000 3.2267 3.2267
3.2267 0.0000 3.2267
3.2267 3.2267 0.0000
Er Ga Ni Pt
1 1 1 1
direct
0.0000 0.0000 0.0000 Er
0.5000 0.5000 0.5000 Ga
0.2500 0.2500 0.2500 Ni
0.7500 0.7500 0.7500 Pt
```

Values from the calculation:
energy of formation from the pure elements: -697 meV per atom
N(E_F): 3.11 states/eV per cell
raw total energy: -5.550 eV/atom
space-group type: F-43m
magnetization: 0.0 μB/f.u.